DFT (PBE+U) results for crystalline SrMnO3 at its relaxed geometry.

The total energy is -6.797 eV per atom.

Cell: 7.272 7.272 5.133 Å, 92.16 92.16 86.37°
Atoms (fractional coordinates):
Sr  0.096  0.314  0.298
Sr  0.314  0.096  0.798
Sr  0.686  0.904  0.202
Sr  0.904  0.686  0.702
Mn  0.258  0.742  0.250
Mn  0.426  0.574  0.750
Mn  0.574  0.426  0.250
Mn  0.742  0.258  0.750
O  0.011  0.740  0.155
O  0.202  0.609  0.556
O  0.260  0.989  0.345
O  0.333  0.473  0.064
O  0.391  0.798  0.944
O  0.473  0.333  0.564
O  0.527  0.667  0.436
O  0.609  0.202  0.056
O  0.667  0.527  0.936
O  0.740  0.011  0.655
O  0.798  0.391  0.444
O  0.989  0.260  0.845